Record 1
Computed, not measured: crystalline DyZrTcAg at its relaxed geometry at the PBE level of DFT.

Summary:
The space group is F-43m (216). Its uncorrected energy is -6.727 eV/atom. The energy of formation is -0.540 eV per formula unit.

Structure (CIF):
```
data_DyZrTcAg
_cell_length_a 4.856
_cell_length_b 4.856
_cell_length_c 4.856
_cell_angle_alpha 60.00
_cell_angle_beta 60.00
_cell_angle_gamma 60.00
_symmetry_space_group_name_H-M 'P 1'
_symmetry_Int_Tables_number 1
loop_
_symmetry_equiv_pos_as_xyz
'x,y,z'
loop_
_atom_site_label
_atom_site_type_symbol
_atom_site_fract_x
_atom_site_fract_y
_atom_site_fract_z
Dy1 Dy 0.000 0.000 0.000
Zr1 Zr 0.500 0.500 0.500
Tc1 Tc 0.250 0.250 0.250
Ag1 Ag 0.750 0.750 0.750
```

=====

Record 2
Computed, not measured: crystalline YPu2RuN4 at its relaxed geometry at the PBE level of DFT.

Summary:
The space group is Cmcm (63). The value obtained for the formation energy (no corrections) is -0.923 eV/atom. Its uncorrected energy is -10.636 eV/atom.

Structure (CIF):
```
data_YPu2RuN4
_cell_length_a 6.023
_cell_length_b 6.023
_cell_length_c 11.558
_cell_angle_alpha 90.00
_cell_angle_beta 90.00
_cell_angle_gamma 147.79
_symmetry_space_group_name_H-M 'P 1'
_symmetry_Int_Tables_number 1
loop_
_symmetry_equiv_pos_as_xyz
'x,y,z'
loop_
_atom_site_label
_atom_site_type_symbol
_atom_site_fract_x
_atom_site_fract_y
_atom_site_fract_z
Y1 Y 0.116 0.884 0.750
Y2 Y 0.884 0.116 0.250
Pu1 Pu 0.369 0.631 0.551
Pu2 Pu 0.369 0.631 0.949
Pu3 Pu 0.631 0.369 0.051
Pu4 Pu 0.631 0.369 0.449
Ru1 Ru 0.144 0.856 0.250
Ru2 Ru 0.856 0.144 0.750
N1 N 0.000 0.000 0.000
N2 N 0.000 0.000 0.500
N3 N 0.271 0.729 0.122
N4 N 0.271 0.729 0.378
N5 N 0.463 0.537 0.750
N6 N 0.537 0.463 0.250
N7 N 0.729 0.271 0.622
N8 N 0.729 0.271 0.878
```

=====

Record 3
Computed, not measured: crystalline ReAgCl2 at its relaxed geometry at the PBE level of DFT.

Summary:
The space group is Pm (6). The value obtained for the formation energy (no corrections) is 0.569 eV/atom. Its uncorrected energy is -4.179 eV/atom. The calculation puts the energy above the most stable polymorph in this dataset at 386 meV per atom.

Structure (CIF):
```
data_ReAgCl2
_cell_length_a 2.870
_cell_length_b 4.515
_cell_length_c 6.176
_cell_angle_alpha 90.00
_cell_angle_beta 103.03
_cell_angle_gamma 90.00
_symmetry_space_group_name_H-M 'P 1'
_symmetry_Int_Tables_number 1
loop_
_symmetry_equiv_pos_as_xyz
'x,y,z'
loop_
_atom_site_label
_atom_site_type_symbol
_atom_site_fract_x
_atom_site_fract_y
_atom_site_fract_z
Re1 Re 0.000 0.000 0.000
Ag1 Ag 0.655 0.500 0.314
Cl1 Cl 0.810 0.000 0.609
Cl2 Cl 0.947 0.500 0.890
```

=====

Record 4
Computed, not measured: crystalline AgPt2F8 at its relaxed geometry at the PBE level of DFT.

Summary:
The space group is P-1 (2). The value obtained for the formation energy (no corrections) is -1.125 eV/atom. Its uncorrected energy is -3.843 eV/atom. The calculation puts the energy above the most stable polymorph in this dataset at 0 meV per atom.

Structure (CIF):
```
data_AgPt2F8
_cell_length_a 4.646
_cell_length_b 6.217
_cell_length_c 6.231
_cell_angle_alpha 69.44
_cell_angle_beta 85.85
_cell_angle_gamma 85.96
_symmetry_space_group_name_H-M 'P 1'
_symmetry_Int_Tables_number 1
loop_
_symmetry_equiv_pos_as_xyz
'x,y,z'
loop_
_atom_site_label
_atom_site_type_symbol
_atom_site_fract_x
_atom_site_fract_y
_atom_site_fract_z
Ag1 Ag 0.000 0.000 0.000
Pt1 Pt 0.250 0.388 0.387
Pt2 Pt 0.750 0.612 0.613
F1 F 0.236 0.200 0.198
F2 F 0.257 0.107 0.662
F3 F 0.259 0.664 0.108
F4 F 0.265 0.589 0.589
F5 F 0.735 0.411 0.411
F6 F 0.741 0.336 0.892
F7 F 0.743 0.893 0.338
F8 F 0.764 0.800 0.802
```

=====

Record 5
Computed, not measured: crystalline Ba4PtO at its relaxed geometry at the PBE level of DFT.

Summary:
The space group is Cmcm (63). The value obtained for the formation energy (no corrections) is -1.088 eV/atom. Its uncorrected energy is -4.203 eV/atom. The calculation puts the energy above the most stable polymorph in this dataset at 0 meV per atom.

Structure (CIF):
```
data_Ba4PtO
_cell_length_a 7.586
_cell_length_b 7.586
_cell_length_c 9.510
_cell_angle_alpha 90.00
_cell_angle_beta 90.00
_cell_angle_gamma 90.80
_symmetry_space_group_name_H-M 'P 1'
_symmetry_Int_Tables_number 1
loop_
_symmetry_equiv_pos_as_xyz
'x,y,z'
loop_
_atom_site_label
_atom_site_type_symbol
_atom_site_fract_x
_atom_site_fract_y
_atom_site_fract_z
Ba1 Ba 0.199 0.801 0.533
Ba2 Ba 0.199 0.801 0.967
Ba3 Ba 0.277 0.326 0.750
Ba4 Ba 0.326 0.277 0.250
Ba5 Ba 0.674 0.723 0.750
Ba6 Ba 0.723 0.674 0.250
Ba7 Ba 0.801 0.199 0.033
Ba8 Ba 0.801 0.199 0.467
Pt1 Pt 0.024 0.976 0.250
Pt2 Pt 0.976 0.024 0.750
O1 O 0.349 0.651 0.750
O2 O 0.651 0.349 0.250
```

=====

Record 6
Computed, not measured: crystalline NdHfIn2 at its relaxed geometry at the PBE level of DFT.

Summary:
The space group is R-3m (166). Its uncorrected energy is -5.147 eV/atom. The energy of formation is -0.389 eV per formula unit. The calculation puts the energy above the most stable polymorph in this dataset at 109 meV per atom.

Structure (CIF):
```
data_NdHfIn2
_cell_length_a 10.715
_cell_length_b 10.715
_cell_length_c 10.715
_cell_angle_alpha 18.01
_cell_angle_beta 18.01
_cell_angle_gamma 18.01
_symmetry_space_group_name_H-M 'P 1'
_symmetry_Int_Tables_number 1
loop_
_symmetry_equiv_pos_as_xyz
'x,y,z'
loop_
_atom_site_label
_atom_site_type_symbol
_atom_site_fract_x
_atom_site_fract_y
_atom_site_fract_z
Nd1 Nd 0.000 0.000 0.000
Hf1 Hf 0.500 0.500 0.500
In1 In 0.245 0.245 0.245
In2 In 0.755 0.755 0.755
```